Record 1
# GGA-PBE Pr3AsN, relaxed
# **E**: -6.46 eV per atom
# **M_tot**: 0.000 μB per atom
data_Pr3AsN
_space_group_name_H-M_alt 'C 1 2/c 1'
_space_group_IT_number 15
_cell_length_a 14.154
_cell_length_b 11.144
_cell_length_c 6.808
_cell_angle_alpha 90.00
_cell_angle_beta 101.57
_cell_angle_gamma 90.00
loop_
_space_group_symop_operation_xyz
'x,y,z'
'-x,-y,-z'
'-x,y,-z+1/2'
'x,-y,z+1/2'
'x+1/2,y+1/2,z'
'-x+1/2,-y+1/2,-z'
'-x+1/2,y+1/2,-z+1/2'
'x+1/2,-y+1/2,z+1/2'
loop_
_atom_site_label
_atom_site_type_symbol
_atom_site_fract_x
_atom_site_fract_y
_atom_site_fract_z
Pr1 Pr 0.097 0.244 0.461
Pr2 Pr 0.102 0.079 0.955
Pr3 Pr 0.108 0.415 0.914
As1 As 0.246 0.392 0.296
N1 N 0.000 0.082 0.250
N2 N 0.000 0.247 0.750

Record 2
# GGA-PBE Pr4As2N, relaxed
# **E**: -5.88 eV per atom
# **M_tot**: 0.000 μB per atom
data_Pr4As2N
_space_group_name_H-M_alt 'I 4/m m m'
_space_group_IT_number 139
_space_group_name_Hall '-I 4 2'
_cell_length_a 4.625
_cell_length_b 4.625
_cell_length_c 19.507
_cell_angle_alpha 90.00
_cell_angle_beta 90.00
_cell_angle_gamma 90.00
loop_
_atom_site_label
_atom_site_type_symbol
_atom_site_fract_x
_atom_site_fract_y
_atom_site_fract_z
Pr1 Pr 0.000 0.000 0.180
Pr2 Pr 0.000 0.500 0.000
As1 As 0.000 0.000 0.333
N1 N 0.000 0.000 0.500

Record 3
# GGA-PBE Pr12As3N5, relaxed
# **E**: -6.62 eV per atom
# **M_tot**: 0.000 μB per atom
data_Pr12As3N5
_space_group_name_H-M_alt 'I a -3 d'
_space_group_IT_number 230
_space_group_name_Hall '-I 4bd 2c 3'
_cell_length_a 16.004
_cell_length_b 16.004
_cell_length_c 16.004
_cell_angle_alpha 90.00
_cell_angle_beta 90.00
_cell_angle_gamma 90.00
loop_
_atom_site_label
_atom_site_type_symbol
_atom_site_fract_x
_atom_site_fract_y
_atom_site_fract_z
Pr1 Pr 0.033 0.054 0.650
As1 As 0.000 0.250 0.125
N1 N 0.000 0.000 0.000
N2 N 0.000 0.250 0.375

Record 4
# GGA-PBE Pr5As4N, relaxed
# **E**: -6.44 eV per atom
# **M_tot**: 0.000 μB per atom
data_Pr5As4N
_space_group_name_H-M_alt 'I 4'
_space_group_IT_number 79
_cell_length_a 9.343
_cell_length_b 9.343
_cell_length_c 6.069
_cell_angle_alpha 90.00
_cell_angle_beta 90.00
_cell_angle_gamma 90.00
loop_
_space_group_symop_operation_xyz
'x,y,z'
'-y,x,z'
'-x,-y,z'
'y,-x,z'
'x+1/2,y+1/2,z+1/2'
'-y+1/2,x+1/2,z+1/2'
'-x+1/2,-y+1/2,z+1/2'
'y+1/2,-x+1/2,z+1/2'
loop_
_atom_site_label
_atom_site_type_symbol
_atom_site_fract_x
_atom_site_fract_y
_atom_site_fract_z
Pr1 Pr 0.000 0.000 0.000
Pr2 Pr 0.094 0.721 0.555
As1 As 0.094 0.698 0.059
N1 N 0.000 0.000 0.613

Record 5
# GGA-PBE PrAsRhN, relaxed
# **E**: -7.13 eV per atom
# **M_tot**: 0.000 μB per atom
data_PrAsRhN
_space_group_name_H-M_alt 'P 4/n m m'
_space_group_IT_number 129
_cell_length_a 3.982
_cell_length_b 3.982
_cell_length_c 8.654
_cell_angle_alpha 90.00
_cell_angle_beta 90.00
_cell_angle_gamma 90.00
loop_
_space_group_symop_operation_xyz
'x,y,z'
'-x,-y,-z'
'-y+1/2,x,z'
'y+1/2,-x,-z'
'-x+1/2,-y+1/2,z'
'x+1/2,y+1/2,-z'
'y,-x+1/2,z'
'-y,x+1/2,-z'
'x+1/2,-y,-z'
'-x+1/2,y,z'
'-y,-x,-z'
'y,x,z'
'-x,y+1/2,-z'
'x,-y+1/2,z'
'y+1/2,x+1/2,-z'
'-y+1/2,-x+1/2,z'
loop_
_atom_site_label
_atom_site_type_symbol
_atom_site_fract_x
_atom_site_fract_y
_atom_site_fract_z
Pr1 Pr 0.250 0.250 0.155
As1 As 0.250 0.250 0.663
Rh1 Rh 0.250 0.750 0.500
N1 N 0.250 0.250 0.881

Record 6
# GGA-PBE Pr3AsSN, relaxed
# **E**: -6.73 eV per atom
# **M_tot**: 0.000 μB per atom
data_Pr3AsSN
_space_group_name_H-M_alt 'P 1 21/m 1'
_space_group_IT_number 11
_cell_length_a 8.505
_cell_length_b 4.130
_cell_length_c 9.386
_cell_angle_alpha 90.00
_cell_angle_beta 100.29
_cell_angle_gamma 90.00
loop_
_space_group_symop_operation_xyz
'x,y,z'
'-x,-y,-z'
'-x,y+1/2,-z'
'x,-y+1/2,z'
loop_
_atom_site_label
_atom_site_type_symbol
_atom_site_fract_x
_atom_site_fract_y
_atom_site_fract_z
Pr1 Pr 0.091 0.250 0.341
Pr2 Pr 0.326 0.250 0.988
Pr3 Pr 0.403 0.750 0.654
As1 As 0.326 0.750 0.298
S1 S 0.151 0.250 0.649
N1 N 0.406 0.750 0.898

Record 7
# GGA-PBE Pr8As3S3N, relaxed
# **E**: -6.41 eV per atom
# **M_tot**: 0.076 μB per atom
data_Pr8As3S3N
_space_group_name_H-M_alt 'R -3 m'
_space_group_IT_number 166
_space_group_name_Hall '-R 3 2"'
_cell_length_a 8.3199
_cell_length_b 8.3199
_cell_length_c 20.3834
_cell_angle_alpha 90.00
_cell_angle_beta 90.00
_cell_angle_gamma 120.00
loop_
_atom_site_label
_atom_site_type_symbol
_atom_site_fract_x
_atom_site_fract_y
_atom_site_fract_z
Pr1 Pr 0.0000 0.0000 0.2490
Pr2 Pr 0.0325 0.5162 0.2404
As1 As 0.0000 0.5000 0.0000
S1 S 0.0000 0.5000 0.5000
N1 N 0.0000 0.0000 0.5000

Record 8
# GGA-PBE Pr4SbAs2N, relaxed
# **E**: -6.38 eV per atom
# **M_tot**: 0.000 μB per atom
data_Pr4SbAs2N
_space_group_name_H-M_alt 'C m c m'
_space_group_IT_number 63
_space_group_name_Hall '-C 2c 2'
_cell_length_a 4.227
_cell_length_b 14.595
_cell_length_c 14.909
_cell_angle_alpha 90.00
_cell_angle_beta 90.00
_cell_angle_gamma 90.00
loop_
_atom_site_label
_atom_site_type_symbol
_atom_site_fract_x
_atom_site_fract_y
_atom_site_fract_z
Pr1 Pr 0.000 0.000 0.000
Pr2 Pr 0.000 0.259 0.127
Pr3 Pr 0.000 0.423 0.750
Sb1 Sb 0.000 0.104 0.750
As1 As 0.000 0.368 0.552
N1 N 0.000 0.164 0.250